The following is a SCAN calculation of a PBEsol-optimized structure of InFe2Ni, from the Alexandria database.

a = 5.914 Å, b = 5.914 Å, c = 5.914 Å
α = 90.00°, β = 90.00°, γ = 90.00°
Space group F-43m (No. 216)
Asymmetric unit:
In: 0.000 0.000 0.000 x4
Fe: 0.000 0.000 0.500 x4
Fe: 0.250 0.250 0.750 x4
Ni: 0.250 0.250 0.250 x4


The following is a SCAN calculation of a PBEsol-optimized structure of InFe2O4, from the Alexandria database.

a = 3.3645 Å, b = 3.3645 Å, c = 25.2958 Å
α = 90.00°, β = 90.00°, γ = 120.00°
Space group R-3m (No. 166, hexagonal axes)
Asymmetric unit:
In: 0.0000 0.0000 0.0000 x3
Fe: 0.0000 0.0000 0.2135 x6
O: 0.0000 0.0000 0.1270 x6
O: 0.0000 0.0000 0.2919 x6

Results
Uncorrected formation energy = -1.626 eV per atom


| no. | density of states at the Fermi level (states/eV per cell) | total energy (eV/atom) | volume (Å³/cell) |
| --- | --- | --- | --- |
| 1 | 9.26 | -21.435 | 206.90 |
| 2 | 9.48 | -15.136 | 247.98 |